The following is a PBE-GGA calculation of crystalline AgOsSeN2 at its relaxed geometry, from Alexandria via LeMat-Bulk.

Unit cell a=3.9035 b=3.9035 c=6.3599 alpha=90.00 beta=90.00 gamma=90.00
Each line ends with the local moment (μB).
Positions (direct):
1 Os 0.5000 0.5000 0.5000  2.56
2 Ag 0.0000 0.0000 0.0000  0.22
3 N 0.0000 0.5000 0.0000  1.07
4 N 0.5000 0.0000 0.0000  1.07
5 Se 0.0000 0.0000 0.5000  0.19

The value obtained for the spin magnetization is 6.4 μB per cell. The formation energy (no corrections) is 2545 meV/atom. The value obtained for the calculated volume is 96.91 Å³ per cell.